## Tb6Sm2DySc (PBE)

Data for a relaxed Tb6Sm2DySc crystal. Values from VASP.

```
&SYSTEM
  ibrav = 0, nat = 20, ntyp = 4
/
ATOMIC_SPECIES
Tb 158.93 Tb.upf
Sm 150.36 Sm.upf
Dy 162.50 Dy.upf
Sc 44.96 Sc.upf
CELL_PARAMETERS angstrom
9.0828 -2.0652 -2.1432
0.7703 8.4506 -1.9585
0.7703 -2.2703 8.3722
ATOMIC_POSITIONS angstrom
Tb 1.1807 -0.7537 5.9059
Tb 4.9014 -0.7821 5.8764
Tb 9.4428 4.8688 -1.6353
Tb 5.7221 4.8972 -1.6058
Tb 3.9001 6.7641 1.0029
Tb 2.1820 4.3962 -1.4545
Tb 6.7234 -2.6490 3.2677
Tb 8.4415 -0.2811 5.7250
Tb 1.9916 4.6008 2.5148
Tb 4.0905 2.8051 0.6513
Tb 8.6319 -0.4857 1.7558
Tb 6.5330 1.3100 3.6193
Sm 5.2880 4.2375 3.3137
Sm 0.7941 1.9934 0.9847
Sm 5.3355 -0.1224 0.9569
Sm 9.8294 2.1218 3.2859
Dy 3.0410 7.7292 -2.2966
Dy 7.5824 -3.6141 6.5672
Sc 3.0410 1.6264 3.5840
Sc 7.5824 2.4887 0.6866
```

Calculated values
ΔE_f   1.2 eV per formula unit
Density of states at the Fermi level   26.27 states/eV per cell
Magnetization   0.0 Bohr magnetons per cell